The following is a DFT calculation (GGA-PBE) of Mn3BTe after structural relaxation.

Geometry as POSCAR:
```
Mn3BTe
1.0
3.952 0.000 0.000
0.000 3.952 0.000
0.000 0.000 3.952
Mn B Te
3 1 1
Direct
0.000 0.000 0.500 Mn
0.000 0.500 0.000 Mn
0.500 0.000 0.000 Mn
0.000 0.000 0.000 B
0.500 0.500 0.500 Te
```

Results
Energy above the most stable polymorph in this dataset   0 meV per atom
E_form (uncorrected)   1.20 eV/f.u.

The following is a DFT calculation (GGA-PBE) of Al2MoIr3 after structural relaxation.

Geometry as POSCAR:
```
Al2MoIr3
1.0
2.893 0.000 0.000
0.000 2.893 0.000
0.000 0.000 10.157
Al Mo Ir
2 1 3
Direct
0.000 0.000 0.156 Al
0.000 0.000 0.844 Al
0.000 0.000 0.500 Mo
0.500 0.500 0.000 Ir
0.500 0.500 0.315 Ir
0.500 0.500 0.685 Ir
```

Results
Energy relative to the elements   -69.6 kJ per mole of atoms

The following is a DFT calculation (GGA-PBE) of InPPdCl2 after structural relaxation.

Geometry as POSCAR:
```
InPPdCl2
1.0
5.079 0.000 0.000
0.000 5.079 0.000
0.000 0.000 5.249
In P Pd Cl
1 1 1 2
Direct
0.000 0.000 0.000 In
0.000 0.000 0.500 P
0.500 0.500 0.500 Pd
0.000 0.500 0.000 Cl
0.500 0.000 0.000 Cl
```

Results
Energy above the most stable polymorph in this dataset   464 meV per atom
E_form (uncorrected)   1.97 eV/f.u.

The following is a DFT calculation (GGA-PBE) of NdGaCoN after structural relaxation.

Geometry as POSCAR:
```
NdGaCoN
1.0
3.848 0.000 0.000
0.000 3.848 0.000
0.000 0.000 8.563
Nd Ga Co N
2 2 2 2
Direct
0.250 0.250 0.152 Nd
0.750 0.750 0.848 Nd
0.250 0.750 0.500 Ga
0.750 0.250 0.500 Ga
0.250 0.250 0.670 Co
0.750 0.750 0.330 Co
0.250 0.250 0.876 N
0.750 0.750 0.124 N
```

Results
E_form (uncorrected)   -2.98 eV/f.u.

The following is a DFT calculation (GGA-PBE) of NaYC after structural relaxation.

Geometry as POSCAR:
```
NaYC
1.0
0.000 2.990 2.990
2.990 0.000 2.990
2.990 2.990 0.000
Na Y C
1 1 1
Direct
0.000 0.000 0.000 Na
0.500 0.500 0.500 Y
0.750 0.750 0.750 C
```

Results
Energy above the most stable polymorph in this dataset   449 meV per atom
Energy relative to the elements   30.4 kJ per mole of atoms

The following is a DFT calculation (GGA-PBE) of SnOsAuF2 after structural relaxation.

Geometry as POSCAR:
```
SnOsAuF2
1.0
4.170 0.000 0.000
0.000 4.170 0.000
0.000 0.000 5.651
Sn Os Au F
1 1 1 2
Direct
0.000 0.000 0.000 Sn
0.500 0.500 0.500 Os
0.000 0.000 0.500 Au
0.000 0.500 0.000 F
0.500 0.000 0.000 F
```

Results
E_form (uncorrected)   -0.32 eV/f.u.

The following is a DFT calculation (GGA-PBE) of LiAc2Ce3Se6 after structural relaxation.

Geometry as POSCAR:
```
LiAc2Ce3Se6
1.0
3.695 -6.410 0.000
3.695 6.410 0.000
-2.486 0.000 7.088
Li Ac Ce Se
1 2 3 6
Direct
0.000 0.000 0.000 Li
0.334 0.666 0.000 Ac
0.666 0.334 0.000 Ac
0.170 0.830 0.500 Ce
0.500 0.500 0.500 Ce
0.830 0.170 0.500 Ce
0.084 0.403 0.254 Se
0.233 0.233 0.742 Se
0.403 0.084 0.254 Se
0.597 0.916 0.746 Se
0.767 0.767 0.258 Se
0.916 0.597 0.746 Se
```

Results
E_form (uncorrected)   -20.97 eV/f.u.

The following is a DFT calculation (GGA-PBE) of AcZn5Ir2 after structural relaxation.

Geometry as POSCAR:
```
AcZn5Ir2
1.0
-2.073 3.794 4.860
2.073 -3.794 4.860
2.073 3.794 -4.860
Ac Zn Ir
1 5 2
Direct
0.000 0.000 0.000 Ac
0.157 0.337 0.820 Zn
0.483 0.663 0.820 Zn
0.500 0.000 0.500 Zn
0.517 0.337 0.180 Zn
0.843 0.663 0.180 Zn
0.245 0.745 0.500 Ir
0.755 0.255 0.500 Ir
```

Results
Energy relative to the elements   -31.7 kJ per mole of atoms

Taking the records one at a time from the top gives calculated density values of 8.16 14.20 3.96 7.52 3.85 9.19 6.70 10.19 g/cm3.